Record 1
A plane-wave DFT calculation with PBE was carried out for Tm2MgGa2Rh5 after structural relaxation.

POSCAR file:
```
Tm2MgGa2Rh5
1.0
-1.407 2.559 1.938
-4.475 -6.710 5.612
7.807 -0.222 5.961
Tm Mg Ga Rh
4 2 4 10
direct
0.000 0.673 0.173
0.000 0.327 0.827
0.000 0.173 0.327
0.000 0.827 0.673
0.000 0.000 0.000
0.000 0.500 0.500
0.000 0.126 0.626
0.000 0.874 0.374
0.000 0.626 0.874
0.000 0.374 0.126
0.500 0.205 0.069
0.500 0.795 0.931
0.500 0.069 0.795
0.500 0.705 0.431
0.500 0.931 0.205
0.500 0.295 0.569
0.500 0.569 0.705
0.500 0.431 0.295
0.500 0.500 0.000
0.500 0.000 0.500
```

Output
Volume: 338 Å³ per cell
Space-group type: P4/mbm (127)
Total DFT energy (no corrections): -122.11 eV per cell


Record 2
A plane-wave DFT calculation with PBE was carried out for TmMgGaRh after structural relaxation.

POSCAR file:
```
TmMgGaRh
1.0
4.722 0.000 0.000
2.361 4.089 0.000
2.361 1.363 3.855
Mg Tm Rh Ga
1 1 1 1
direct
0.250 0.250 0.250
0.750 0.750 0.750
0.000 0.000 0.000
0.500 0.500 0.500
```

Output
Volume: 74 Å³ per cell
Space-group type: F-43m (216)
Total DFT energy (no corrections): -18.65 eV per cell


Record 3
A plane-wave DFT calculation with PBE was carried out for MgUGa5Rh2 after structural relaxation.

POSCAR file:
```
MgUGa5Rh2
1.0
4.630 0.000 0.000
0.000 4.630 0.000
0.000 0.000 7.732
Mg U Ga Rh
1 1 5 2
direct
0.000 0.000 0.500
0.000 0.000 0.000
0.000 0.500 0.281
0.500 0.000 0.281
0.000 0.500 0.719
0.500 0.000 0.719
0.500 0.500 0.500
0.500 0.500 0.170
0.500 0.500 0.830
```

Output
Volume: 166 Å³ per cell
Space-group type: P4/mmm (123)
Total DFT energy (no corrections): -44.43 eV per cell